Hf3FeTc | PBE | relaxed

Unit cell a=4.667 b=4.667 c=4.667 alpha=90.00 beta=90.00 gamma=90.00
Sites, in units of the cell vectors:
Hf (0.000, 0.500, 0.000)
Hf (0.000, 0.000, 0.500)
Hf (0.500, 0.000, 0.000)
Tc (0.500, 0.500, 0.500)
Fe (0.000, 0.000, 0.000)

## Properties
V = 102 Å³ per cell
Electronic total energy = -9.23 eV per atom
Magnetic moment = 0.0 μB per cell
SG = Pm-3m, No. 221